#a
# CoOsPb2, optimized geometry, DFT GGA-PBE
# Crystal system ... cubic
# M_tot ... 2.35 μB per formula unit
# V ... 318.4 Å³/cell
data_CoOsPb2
_chemical_formula_sum 'Co4 Os4 Pb8'
_cell_length_a 6.828
_cell_length_b 6.828
_cell_length_c 6.828
_cell_angle_alpha 90.00
_cell_angle_beta 90.00
_cell_angle_gamma 90.00
_space_group_name_H-M_alt 'F -4 3 m'
_space_group_IT_number 216
_space_group_name_Hall 'F -4 2 3'
loop_
_atom_site_label
_atom_site_fract_x
_atom_site_fract_y
_atom_site_fract_z
Co1 0.000 0.000 0.000
Os1 0.250 0.250 0.750
Pb1 0.000 0.000 0.500
Pb2 0.250 0.250 0.250

=====

#b
# CoOsPb2, optimized geometry, DFT GGA-PBE
# Crystal system ... tetragonal
# M_tot ... 1.13 μB per formula unit
# V ... 85.2 Å³/cell
data_CoOsPb2
_chemical_formula_sum 'Co1 Os1 Pb2'
_cell_length_a 3.120
_cell_length_b 3.120
_cell_length_c 8.757
_cell_angle_alpha 90.00
_cell_angle_beta 90.00
_cell_angle_gamma 90.00
_space_group_name_H-M_alt 'P 4 m m'
_space_group_IT_number 99
_space_group_name_Hall 'P 4 -2'
loop_
_atom_site_label
_atom_site_fract_x
_atom_site_fract_y
_atom_site_fract_z
Co1 0.000 0.000 0.000
Os1 0.500 0.500 0.136
Pb1 0.000 0.000 0.376
Pb2 0.500 0.500 0.778

=====

#c
# CoOsPb2, optimized geometry, DFT GGA-PBE
# Crystal system ... monoclinic
# M_tot ... 0.65 μB per formula unit
# V ... 81.0 Å³/cell
data_CoOsPb2
_chemical_formula_sum 'Co1 Os1 Pb2'
_cell_length_a 4.103
_cell_length_b 3.997
_cell_length_c 5.347
_cell_angle_alpha 90.00
_cell_angle_beta 112.48
_cell_angle_gamma 90.00
_space_group_name_H-M_alt 'P 1 m 1'
_space_group_IT_number 6
_space_group_name_Hall 'P -2y'
loop_
_atom_site_label
_atom_site_fract_x
_atom_site_fract_y
_atom_site_fract_z
Co1 0.000 0.000 0.000
Os1 0.877 0.500 0.757
Pb1 0.287 0.000 0.575
Pb2 0.585 0.500 0.171

=====

#d
# CoOsPb2, optimized geometry, DFT GGA-PBE
# Crystal system ... tetragonal
# M_tot ... 1.04 μB per formula unit
# V ... 74.0 Å³/cell
data_CoOsPb2
_chemical_formula_sum 'Co1 Os1 Pb2'
_cell_length_a 3.334
_cell_length_b 3.334
_cell_length_c 6.660
_cell_angle_alpha 90.00
_cell_angle_beta 90.00
_cell_angle_gamma 90.00
_space_group_name_H-M_alt 'P 4/m m m'
_space_group_IT_number 123
_space_group_name_Hall '-P 4 2'
loop_
_atom_site_label
_atom_site_fract_x
_atom_site_fract_y
_atom_site_fract_z
Co1 0.000 0.000 0.000
Os1 0.000 0.000 0.500
Pb1 0.500 0.500 0.245

=====

The most stable arrangement is #b, and the next structure is 8.9 kJ/mol of atoms less stable.

=====

#a
# CoOsPb2, optimized geometry, DFT GGA-PBE
# Crystal system ... orthorhombic
# M_tot ... 1.62 μB per formula unit
# V ... 168.7 Å³/cell
data_CoOsPb2
_chemical_formula_sum 'Co2 Os2 Pb4'
_cell_length_a 3.237
_cell_length_b 4.360
_cell_length_c 11.949
_cell_angle_alpha 90.00
_cell_angle_beta 90.00
_cell_angle_gamma 90.00
_space_group_name_H-M_alt 'I m m 2'
_space_group_IT_number 44
_space_group_name_Hall 'I 2 -2'
loop_
_atom_site_label
_atom_site_fract_x
_atom_site_fract_y
_atom_site_fract_z
Co1 0.000 0.000 0.000
Os1 0.000 0.500 0.351
Pb1 0.000 0.000 0.538
Pb2 0.000 0.500 0.765

=====

#b
# CoOsPb2, optimized geometry, DFT GGA-PBE
# Crystal system ... tetragonal
# M_tot ... 0.99 μB per formula unit
# V ... 151.5 Å³/cell
data_CoOsPb2
_chemical_formula_sum 'Co2 Os2 Pb4'
_cell_length_a 3.955
_cell_length_b 3.955
_cell_length_c 9.685
_cell_angle_alpha 90.00
_cell_angle_beta 90.00
_cell_angle_gamma 90.00
_space_group_name_H-M_alt 'I -4 m 2'
_space_group_IT_number 119
_space_group_name_Hall 'I -4 -2'
loop_
_atom_site_label
_atom_site_fract_x
_atom_site_fract_y
_atom_site_fract_z
Co1 0.000 0.000 0.000
Os1 0.000 0.500 0.750
Pb1 0.000 0.000 0.500
Pb2 0.000 0.500 0.250

=====

#c
# CoOsPb2, optimized geometry, DFT GGA-PBE
# Crystal system ... monoclinic
# M_tot ... 1.28 μB per formula unit
# V ... 153.8 Å³/cell
data_CoOsPb2
_chemical_formula_sum 'Co2 Os2 Pb4'
_cell_length_a 8.515
_cell_length_b 3.293
_cell_length_c 5.618
_cell_angle_alpha 90.00
_cell_angle_beta 102.47
_cell_angle_gamma 90.00
_space_group_name_H-M_alt 'C 1 2/m 1'
_space_group_IT_number 12
_space_group_name_Hall '-C 2y'
loop_
_atom_site_label
_atom_site_fract_x
_atom_site_fract_y
_atom_site_fract_z
Co1 0.000 0.000 0.000
Os1 0.000 0.500 0.500
Pb1 0.248 0.500 0.245

=====

The most stable arrangement is #a, and the next structure is 15.5 kJ/mol of atoms less stable.

=====

#a
# CoOsPb2, optimized geometry, DFT GGA-PBE
# Crystal system ... trigonal
# M_tot ... 0.00 μB per formula unit
# V ... 226.5 Å³/cell
data_CoOsPb2
_chemical_formula_sum 'Co3 Os3 Pb6'
_cell_length_a 3.2760
_cell_length_b 3.2760
_cell_length_c 24.3646
_cell_angle_alpha 90.00
_cell_angle_beta 90.00
_cell_angle_gamma 120.00
_space_group_name_H-M_alt 'R -3 m'
_space_group_IT_number 166
_space_group_name_Hall '-R 3 2"'
loop_
_atom_site_label
_atom_site_fract_x
_atom_site_fract_y
_atom_site_fract_z
Co1 0.0000 0.0000 0.0000
Os1 0.0000 0.0000 0.5000
Pb1 0.0000 0.0000 0.2538

=====

#b
# CoOsPb2, optimized geometry, DFT GGA-PBE
# Crystal system ... trigonal
# M_tot ... 1.93 μB per formula unit
# V ... 259.4 Å³/cell
data_CoOsPb2
_chemical_formula_sum 'Co3 Os3 Pb6'
_cell_length_a 3.0996
_cell_length_b 3.0996
_cell_length_c 31.1802
_cell_angle_alpha 90.00
_cell_angle_beta 90.00
_cell_angle_gamma 120.00
_space_group_name_H-M_alt 'R 3 m'
_space_group_IT_number 160
_space_group_name_Hall 'R 3 -2"'
loop_
_atom_site_label
_atom_site_fract_x
_atom_site_fract_y
_atom_site_fract_z
Co1 0.0000 0.0000 0.0000
Os1 0.0000 0.0000 0.7210
Pb1 0.0000 0.0000 0.2578
Pb2 0.0000 0.0000 0.4675

=====

The most stable arrangement is #b, and the next structure is 18.8 kJ/mol of atoms less stable.

=====

#a
# Co2OsPd, optimized geometry, DFT GGA-PBE
# Crystal system ... cubic
# M_tot ... 2.57 μB per formula unit
# V ... 205.7 Å³/cell
data_Co2OsPd
_chemical_formula_sum 'Co8 Os4 Pd4'
_cell_length_a 5.903
_cell_length_b 5.903
_cell_length_c 5.903
_cell_angle_alpha 90.00
_cell_angle_beta 90.00
_cell_angle_gamma 90.00
_space_group_name_H-M_alt 'F m -3 m'
_space_group_IT_number 225
_space_group_name_Hall '-F 4 2 3'
loop_
_atom_site_label
_atom_site_fract_x
_atom_site_fract_y
_atom_site_fract_z
Co1 0.250 0.250 0.250
Os1 0.000 0.000 0.000
Pd1 0.000 0.000 0.500

=====

#b
# Co2OsPd, optimized geometry, DFT GGA-PBE
# Crystal system ... trigonal
# M_tot ... 2.81 μB per formula unit
# V ... 156.3 Å³/cell
data_Co2OsPd
_chemical_formula_sum 'Co6 Os3 Pd3'
_cell_length_a 2.6670
_cell_length_b 2.6670
_cell_length_c 25.3733
_cell_angle_alpha 90.00
_cell_angle_beta 90.00
_cell_angle_gamma 120.00
_space_group_name_H-M_alt 'R -3 m'
_space_group_IT_number 166
_space_group_name_Hall '-R 3 2"'
loop_
_atom_site_label
_atom_site_fract_x
_atom_site_fract_y
_atom_site_fract_z
Co1 0.0000 0.0000 0.2477
Os1 0.0000 0.0000 0.5000
Pd1 0.0000 0.0000 0.0000

=====

#c
# Co2OsPd, optimized geometry, DFT GGA-PBE
# Crystal system ... tetragonal
# M_tot ... 0.95 μB per formula unit
# V ... 225.6 Å³/cell
data_Co2OsPd
_chemical_formula_sum 'Co8 Os4 Pd4'
_cell_length_a 6.543
_cell_length_b 6.543
_cell_length_c 5.270
_cell_angle_alpha 90.00
_cell_angle_beta 90.00
_cell_angle_gamma 90.00
_space_group_name_H-M_alt 'I -4 2 d'
_space_group_IT_number 122
_space_group_name_Hall 'I -4 2bw'
loop_
_atom_site_label
_atom_site_fract_x
_atom_site_fract_y
_atom_site_fract_z
Co1 0.223 0.250 0.125
Os1 0.000 0.000 0.000
Pd1 0.000 0.000 0.500

=====

The most stable arrangement is #b, and the next structure is 18.3 kJ/mol of atoms less stable.

=====

#a
# CoOsPd, optimized geometry, DFT GGA-PBE
# Crystal system ... tetragonal
# M_tot ... 1.20 μB per formula unit
# V ... 81.0 Å³/cell
data_CoOsPd
_chemical_formula_sum 'Co2 Os2 Pd2'
_cell_length_a 2.696
_cell_length_b 2.696
_cell_length_c 11.153
_cell_angle_alpha 90.00
_cell_angle_beta 90.00
_cell_angle_gamma 90.00
_space_group_name_H-M_alt 'P 4/n m m'
_space_group_IT_number 129
loop_
_space_group_symop_operation_xyz
'x,y,z'
'-x,-y,-z'
'-y+1/2,x,z'
'y+1/2,-x,-z'
'-x+1/2,-y+1/2,z'
'x+1/2,y+1/2,-z'
'y,-x+1/2,z'
'-y,x+1/2,-z'
'x+1/2,-y,-z'
'-x+1/2,y,z'
'-y,-x,-z'
'y,x,z'
'-x,y+1/2,-z'
'x,-y+1/2,z'
'y+1/2,x+1/2,-z'
'-y+1/2,-x+1/2,z'
loop_
_atom_site_label
_atom_site_fract_x
_atom_site_fract_y
_atom_site_fract_z
Co1 0.250 0.250 0.240
Os1 0.250 0.250 0.913
Pd1 0.250 0.250 0.594

=====

#b
# CoOsPd, optimized geometry, DFT GGA-PBE
# Crystal system ... trigonal
# M_tot ... 1.39 μB per formula unit
# V ... 40.9 Å³/cell
data_CoOsPd
_chemical_formula_sum 'Co1 Os1 Pd1'
_cell_length_a 2.6933
_cell_length_b 2.6933
_cell_length_c 6.5035
_cell_angle_alpha 90.00
_cell_angle_beta 90.00
_cell_angle_gamma 120.00
_space_group_name_H-M_alt 'P 3 m 1'
_space_group_IT_number 156
_space_group_name_Hall 'P 3 -2"'
loop_
_atom_site_label
_atom_site_fract_x
_atom_site_fract_y
_atom_site_fract_z
Co1 0.0000 0.0000 0.0000
Os1 0.6667 0.3333 0.3055
Pd1 0.3333 0.6667 0.6641

=====

#c
# CoOsPd, optimized geometry, DFT GGA-PBE
# Crystal system ... tetragonal
# M_tot ... 0.91 μB per formula unit
# V ... 80.8 Å³/cell
data_CoOsPd
_chemical_formula_sum 'Co2 Os2 Pd2'
_cell_length_a 2.693
_cell_length_b 2.693
_cell_length_c 11.145
_cell_angle_alpha 90.00
_cell_angle_beta 90.00
_cell_angle_gamma 90.00
_space_group_name_H-M_alt 'I 4 m m'
_space_group_IT_number 107
_space_group_name_Hall 'I 4 -2'
loop_
_atom_site_label
_atom_site_fract_x
_atom_site_fract_y
_atom_site_fract_z
Co1 0.000 0.000 0.000
Os1 0.000 0.000 0.356
Pd1 0.000 0.000 0.673

=====

The most stable arrangement is #a, and the next structure is 6.2 kJ/mol of atoms less stable.

=====

#a
# CoOs2Pt, optimized geometry, DFT GGA-PBE
# Crystal system ... orthorhombic
# M_tot ... 0.78 μB per formula unit
# V ... 112.8 Å³/cell
data_CoOs2Pt
_chemical_formula_sum 'Co2 Os4 Pt2'
_cell_length_a 2.704
_cell_length_b 4.351
_cell_length_c 9.590
_cell_angle_alpha 90.00
_cell_angle_beta 90.00
_cell_angle_gamma 90.00
_space_group_name_H-M_alt 'I m m m'
_space_group_IT_number 71
_space_group_name_Hall '-I 2 2'
loop_
_atom_site_label
_atom_site_fract_x
_atom_site_fract_y
_atom_site_fract_z
Co1 0.000 0.000 0.000
Os1 0.000 0.500 0.285
Pt1 0.000 0.000 0.500

=====

#b
# CoOs2Pt, optimized geometry, DFT GGA-PBE
# Crystal system ... trigonal
# M_tot ... 1.45 μB per formula unit
# V ... 168.1 Å³/cell
data_CoOs2Pt
_chemical_formula_sum 'Co3 Os6 Pt3'
_cell_length_a 2.7189
_cell_length_b 2.7189
_cell_length_c 26.2514
_cell_angle_alpha 90.00
_cell_angle_beta 90.00
_cell_angle_gamma 120.00
_space_group_name_H-M_alt 'R 3 m'
_space_group_IT_number 160
_space_group_name_Hall 'R 3 -2"'
loop_
_atom_site_label
_atom_site_fract_x
_atom_site_fract_y
_atom_site_fract_z
Co1 0.0000 0.0000 0.0000
Os1 0.0000 0.0000 0.4939
Os2 0.0000 0.0000 0.7460
Pt1 0.0000 0.0000 0.2510

=====

#c
# CoOs2Pt, optimized geometry, DFT GGA-PBE
# Crystal system ... monoclinic
# M_tot ... 1.32 μB per formula unit
# V ... 110.8 Å³/cell
data_CoOs2Pt
_chemical_formula_sum 'Co2 Os4 Pt2'
_cell_length_a 8.925
_cell_length_b 2.698
_cell_length_c 4.680
_cell_angle_alpha 90.00
_cell_angle_beta 100.35
_cell_angle_gamma 90.00
_space_group_name_H-M_alt 'C 1 2/m 1'
_space_group_IT_number 12
_space_group_name_Hall '-C 2y'
loop_
_atom_site_label
_atom_site_fract_x
_atom_site_fract_y
_atom_site_fract_z
Co1 0.000 0.000 0.000
Os1 0.245 0.500 0.237
Pt1 0.000 0.500 0.500

=====

The most stable arrangement is #b, and the next structure is 4.6 kJ/mol of atoms less stable.

=====

#a
# CoOs2Pt, optimized geometry, DFT GGA-PBE
# Crystal system ... tetragonal
# M_tot ... 1.24 μB per formula unit
# V ... 55.2 Å³/cell
data_CoOs2Pt
_chemical_formula_sum 'Co1 Os2 Pt1'
_cell_length_a 3.776
_cell_length_b 3.776
_cell_length_c 3.872
_cell_angle_alpha 90.00
_cell_angle_beta 90.00
_cell_angle_gamma 90.00
_space_group_name_H-M_alt 'P 4/m m m'
_space_group_IT_number 123
_space_group_name_Hall '-P 4 2'
loop_
_atom_site_label
_atom_site_fract_x
_atom_site_fract_y
_atom_site_fract_z
Co1 0.000 0.000 0.000
Os1 0.000 0.500 0.500
Pt1 0.500 0.500 0.000

=====

#b
# CoOs2Pt, optimized geometry, DFT GGA-PBE
# Crystal system ... trigonal
# M_tot ... 1.18 μB per formula unit
# V ... 166.6 Å³/cell
data_CoOs2Pt
_chemical_formula_sum 'Co3 Os6 Pt3'
_cell_length_a 2.6970
_cell_length_b 2.6970
_cell_length_c 26.4454
_cell_angle_alpha 90.00
_cell_angle_beta 90.00
_cell_angle_gamma 120.00
_space_group_name_H-M_alt 'R -3 m'
_space_group_IT_number 166
_space_group_name_Hall '-R 3 2"'
loop_
_atom_site_label
_atom_site_fract_x
_atom_site_fract_y
_atom_site_fract_z
Co1 0.0000 0.0000 0.0000
Os1 0.0000 0.0000 0.2560
Pt1 0.0000 0.0000 0.5000

=====

The most stable arrangement is #b, and the next structure is 4.0 kJ/mol of atoms less stable.

=====

#a
# CoOs2Pt, optimized geometry, DFT GGA-PBE
# Crystal system ... tetragonal
# M_tot ... 1.60 μB per formula unit
# V ... 55.5 Å³/cell
data_CoOs2Pt
_chemical_formula_sum 'Co1 Os2 Pt1'
_cell_length_a 2.723
_cell_length_b 2.723
_cell_length_c 7.483
_cell_angle_alpha 90.00
_cell_angle_beta 90.00
_cell_angle_gamma 90.00
_space_group_name_H-M_alt 'P 4 m m'
_space_group_IT_number 99
_space_group_name_Hall 'P 4 -2'
loop_
_atom_site_label
_atom_site_fract_x
_atom_site_fract_y
_atom_site_fract_z
Co1 0.000 0.000 0.000
Os1 0.000 0.000 0.483
Os2 0.500 0.500 0.237
Pt1 0.500 0.500 0.754

=====

#b
# CoOs2Pt, optimized geometry, DFT GGA-PBE
# Crystal system ... tetragonal
# M_tot ... 0.99 μB per formula unit
# V ... 54.9 Å³/cell
data_CoOs2Pt
_chemical_formula_sum 'Co1 Os2 Pt1'
_cell_length_a 2.689
_cell_length_b 2.689
_cell_length_c 7.590
_cell_angle_alpha 90.00
_cell_angle_beta 90.00
_cell_angle_gamma 90.00
_space_group_name_H-M_alt 'P 4/m m m'
_space_group_IT_number 123
_space_group_name_Hall '-P 4 2'
loop_
_atom_site_label
_atom_site_fract_x
_atom_site_fract_y
_atom_site_fract_z
Co1 0.000 0.000 0.000
Os1 0.500 0.500 0.230
Pt1 0.000 0.000 0.500

=====

The most stable arrangement is #a, and the next structure is 12.5 kJ/mol of atoms less stable.